Density functional theory data (PBE) for a relaxed structure of Zr2Be2SiRu5.

- VASP energy (eV/atom) = -8.183
- magnetic moment (μB/f.u.) = 0.0
- formation energy (no corrections) (eV/atom) = -0.548
- calculated volume (Å³ per atom) = 13.86

```
20
Lattice="9.378 0.000 0.000 0.000 9.378 0.000 0.000 0.000 3.151" Properties=species:S:1:pos:R:3 pbc="T T T"
Zr 1.631 3.058 0.000
Zr 3.058 7.747 0.000
Zr 6.320 1.631 0.000
Zr 7.747 6.320 0.000
Be 1.174 5.863 0.000
Be 3.516 1.174 0.000
Be 5.863 8.205 0.000
Be 8.205 3.516 0.000
Si 0.000 0.000 0.000
Si 4.689 4.689 0.000
Ru 0.000 4.689 1.576
Ru 0.641 7.466 1.576
Ru 1.913 0.641 1.576
Ru 2.776 5.330 1.576
Ru 4.048 2.776 1.576
Ru 4.689 0.000 1.576
Ru 5.330 6.602 1.576
Ru 6.602 4.048 1.576
Ru 7.466 8.737 1.576
Ru 8.737 1.913 1.576
```